# 1
Below is Li2V3SnO8 at its PBEsol-relaxed geometry, with properties calculated at the meta-GGA SCAN level.

Values from the calculation:
The calculation puts the distance to the lowest polymorph of the same formula at 0.994 eV/f.u. As for the symmetry: P2_13.

Lattice parameters (Å, degrees): 8.423 8.423 8.423 90.00 90.00 90.00
Element x y z (fractional)
Li: 0.012 0.012 0.012
Li: 0.112 0.888 0.388
Li: 0.388 0.112 0.888
Li: 0.488 0.988 0.512
Li: 0.512 0.488 0.988
Li: 0.612 0.612 0.612
Li: 0.888 0.388 0.112
Li: 0.988 0.512 0.488
V: 0.119 0.150 0.636
V: 0.136 0.381 0.850
V: 0.150 0.636 0.119
V: 0.350 0.364 0.619
V: 0.364 0.619 0.350
V: 0.381 0.850 0.136
V: 0.619 0.350 0.364
V: 0.636 0.119 0.150
V: 0.650 0.864 0.881
V: 0.850 0.136 0.381
V: 0.864 0.881 0.650
V: 0.881 0.650 0.864
Sn: 0.225 0.225 0.225
Sn: 0.275 0.775 0.725
Sn: 0.725 0.275 0.775
Sn: 0.775 0.725 0.275
O: 0.078 0.136 0.412
O: 0.088 0.922 0.636
O: 0.119 0.165 0.865
O: 0.120 0.380 0.620
O: 0.132 0.632 0.868
O: 0.135 0.619 0.335
O: 0.136 0.412 0.078
O: 0.165 0.865 0.119
O: 0.335 0.135 0.619
O: 0.364 0.588 0.578
O: 0.365 0.381 0.835
O: 0.368 0.368 0.368
O: 0.380 0.620 0.120
O: 0.381 0.835 0.365
O: 0.412 0.078 0.136
O: 0.422 0.864 0.912
O: 0.578 0.364 0.588
O: 0.588 0.578 0.364
O: 0.619 0.335 0.135
O: 0.620 0.120 0.380
O: 0.632 0.868 0.132
O: 0.635 0.881 0.665
O: 0.636 0.088 0.922
O: 0.665 0.635 0.881
O: 0.835 0.365 0.381
O: 0.864 0.912 0.422
O: 0.865 0.119 0.165
O: 0.868 0.132 0.632
O: 0.880 0.880 0.880
O: 0.881 0.665 0.635
O: 0.912 0.422 0.864
O: 0.922 0.636 0.088


# 2
Below is Li2V3SnO8 at its PBEsol-relaxed geometry, with properties calculated at the meta-GGA SCAN level.

Values from the calculation:
The calculation puts the distance to the lowest polymorph of the same formula at 0.000 eV/f.u. As for the symmetry: R-3m.

Lattice parameters (Å, degrees): 6.094 6.094 6.094 56.59 56.59 56.59
Element x y z (fractional)
Li: 0.125 0.125 0.125
Li: 0.875 0.875 0.875
V: 0.000 0.500 0.500
V: 0.500 0.000 0.500
V: 0.500 0.500 0.000
Sn: 0.500 0.500 0.500
O: 0.254 0.254 0.721
O: 0.254 0.721 0.254
O: 0.264 0.264 0.264
O: 0.279 0.746 0.746
O: 0.721 0.254 0.254
O: 0.736 0.736 0.736
O: 0.746 0.279 0.746
O: 0.746 0.746 0.279


# 3
Below is Li2V3SnO8 at its PBEsol-relaxed geometry, with properties calculated at the meta-GGA SCAN level.

Values from the calculation:
The calculation puts the distance to the lowest polymorph of the same formula at 0.536 eV/f.u. As for the symmetry: Pc.

Lattice parameters (Å, degrees): 5.970 5.716 9.911 90.00 123.66 90.00
Element x y z (fractional)
Li: 0.000 0.246 0.000
Li: 0.000 0.754 0.500
Li: 0.159 0.253 0.386
Li: 0.159 0.747 0.886
V: 0.645 0.260 0.359
V: 0.645 0.740 0.859
V: 0.646 0.033 0.140
V: 0.646 0.967 0.640
V: 0.649 0.461 0.149
V: 0.649 0.539 0.649
Sn: 0.254 0.247 0.750
Sn: 0.254 0.753 0.250
O: 0.381 0.236 0.128
O: 0.381 0.764 0.628
O: 0.423 0.021 0.399
O: 0.423 0.979 0.899
O: 0.426 0.256 0.629
O: 0.426 0.744 0.129
O: 0.428 0.483 0.398
O: 0.428 0.517 0.898
O: 0.853 0.251 0.618
O: 0.853 0.749 0.118
O: 0.858 0.016 0.365
O: 0.858 0.984 0.865
O: 0.870 0.249 0.133
O: 0.870 0.751 0.633
O: 0.880 0.486 0.371
O: 0.880 0.514 0.871


# 4
Below is Li2V3SnO8 at its PBEsol-relaxed geometry, with properties calculated at the meta-GGA SCAN level.

Values from the calculation:
The calculation puts the distance to the lowest polymorph of the same formula at 0.804 eV/f.u. As for the symmetry: R3m.

Lattice parameters (Å, degrees): 5.966 5.966 5.966 57.24 57.24 57.24
Element x y z (fractional)
Li: 0.000 0.000 0.000
Li: 0.386 0.386 0.386
V: 0.358 0.358 0.929
V: 0.358 0.929 0.358
V: 0.929 0.358 0.358
Sn: 0.751 0.751 0.751
O: 0.127 0.127 0.127
O: 0.133 0.133 0.604
O: 0.133 0.604 0.133
O: 0.168 0.629 0.629
O: 0.604 0.133 0.133
O: 0.617 0.617 0.617
O: 0.629 0.168 0.629
O: 0.629 0.629 0.168


# 5
Below is Li2V3SnO8 at its PBEsol-relaxed geometry, with properties calculated at the meta-GGA SCAN level.

Values from the calculation:
The calculation puts the distance to the lowest polymorph of the same formula at 0.532 eV/f.u. As for the symmetry: Cc.

Lattice parameters (Å, degrees): 5.964 5.964 9.911 106.05 106.05 57.28
Element x y z (fractional)
Li: 0.168 0.674 0.807
Li: 0.246 0.754 0.500
Li: 0.674 0.168 0.307
Li: 0.754 0.246 0.000
V: 0.004 0.482 0.271
V: 0.206 0.284 0.483
V: 0.284 0.206 0.983
V: 0.482 0.004 0.771
V: 0.711 0.776 0.989
V: 0.776 0.711 0.489
Sn: 0.303 0.792 0.183
Sn: 0.792 0.303 0.683
O: 0.100 0.594 0.115
O: 0.104 0.607 0.609
O: 0.118 0.149 0.122
O: 0.149 0.118 0.622
O: 0.346 0.375 0.376
O: 0.375 0.346 0.876
O: 0.375 0.847 0.869
O: 0.376 0.891 0.391
O: 0.594 0.100 0.615
O: 0.607 0.104 0.109
O: 0.610 0.656 0.620
O: 0.656 0.610 0.120
O: 0.834 0.865 0.870
O: 0.847 0.375 0.369
O: 0.865 0.834 0.370
O: 0.891 0.376 0.891


# 6
Below is Li4V5Sn3O16 at its PBEsol-relaxed geometry, with properties calculated at the meta-GGA SCAN level.

Values from the calculation:
As for the symmetry: Cm.

Lattice parameters (Å, degrees): 6.027 6.027 9.482 90.35 90.35 59.47
Element x y z (fractional)
Li: 0.000 0.000 0.000
Li: 0.010 0.010 0.486
Li: 0.314 0.314 0.385
Li: 0.653 0.653 0.891
V: 0.158 0.158 0.712
V: 0.313 0.313 0.992
V: 0.338 0.806 0.209
V: 0.649 0.649 0.482
V: 0.806 0.338 0.209
Sn: 0.157 0.650 0.710
Sn: 0.650 0.157 0.710
Sn: 0.820 0.820 0.211
O: 0.029 0.462 0.842
O: 0.158 0.158 0.104
O: 0.170 0.650 0.096
O: 0.318 0.318 0.592
O: 0.327 0.834 0.600
O: 0.462 0.029 0.842
O: 0.469 0.469 0.847
O: 0.501 0.942 0.341
O: 0.508 0.508 0.340
O: 0.650 0.170 0.096
O: 0.652 0.652 0.094
O: 0.829 0.829 0.584
O: 0.834 0.327 0.600
O: 0.942 0.501 0.341
O: 0.993 0.993 0.815
O: 0.997 0.997 0.302


# 7
Below is Li2V3SnO8 at its PBEsol-relaxed geometry, with properties calculated at the meta-GGA SCAN level.

Values from the calculation:
The calculation puts the distance to the lowest polymorph of the same formula at 0.048 eV/f.u. As for the symmetry: P4_332.

Lattice parameters (Å, degrees): 8.360 8.360 8.360 90.00 90.00 90.00
Element x y z (fractional)
Li: 0.008 0.008 0.008
Li: 0.242 0.242 0.242
Li: 0.258 0.758 0.742
Li: 0.492 0.992 0.508
Li: 0.508 0.492 0.992
Li: 0.742 0.258 0.758
Li: 0.758 0.742 0.258
Li: 0.992 0.508 0.492
V: 0.108 0.142 0.625
V: 0.125 0.392 0.858
V: 0.142 0.625 0.108
V: 0.358 0.375 0.608
V: 0.375 0.608 0.358
V: 0.392 0.858 0.125
V: 0.608 0.358 0.375
V: 0.625 0.108 0.142
V: 0.642 0.875 0.892
V: 0.858 0.125 0.392
V: 0.875 0.892 0.642
V: 0.892 0.642 0.875
Sn: 0.125 0.875 0.375
Sn: 0.375 0.125 0.875
Sn: 0.625 0.625 0.625
Sn: 0.875 0.375 0.125
O: 0.099 0.123 0.388
O: 0.112 0.901 0.623
O: 0.123 0.388 0.099
O: 0.124 0.376 0.624
O: 0.126 0.626 0.874
O: 0.127 0.151 0.862
O: 0.138 0.627 0.349
O: 0.151 0.862 0.127
O: 0.349 0.138 0.627
O: 0.362 0.373 0.849
O: 0.373 0.849 0.362
O: 0.374 0.374 0.374
O: 0.376 0.624 0.124
O: 0.377 0.612 0.599
O: 0.388 0.099 0.123
O: 0.401 0.877 0.888
O: 0.599 0.377 0.612
O: 0.612 0.599 0.377
O: 0.623 0.112 0.901
O: 0.624 0.124 0.376
O: 0.626 0.874 0.126
O: 0.627 0.349 0.138
O: 0.638 0.873 0.651
O: 0.651 0.638 0.873
O: 0.849 0.362 0.373
O: 0.862 0.127 0.151
O: 0.873 0.651 0.638
O: 0.874 0.126 0.626
O: 0.876 0.876 0.876
O: 0.877 0.888 0.401
O: 0.888 0.401 0.877
O: 0.901 0.623 0.112


# 8
Below is Li2ZnSn3O8 at its PBEsol-relaxed geometry, with properties calculated at the meta-GGA SCAN level.

Values from the calculation:
As for the symmetry: Cmc2_1.

Lattice parameters (Å, degrees): 10.525 10.525 9.936 90.00 90.00 59.95
Element x y z (fractional)
Li: 0.018 0.982 0.500
Li: 0.166 0.834 0.723
Li: 0.167 0.334 0.723
Li: 0.309 0.333 0.497
Li: 0.333 0.309 0.997
Li: 0.334 0.167 0.223
Li: 0.666 0.833 0.723
Li: 0.667 0.691 0.497
Li: 0.691 0.667 0.997
Li: 0.833 0.666 0.223
Li: 0.834 0.166 0.223
Li: 0.982 0.018 0.000
Zn: 0.000 0.334 0.412
Zn: 0.000 0.666 0.912
Zn: 0.333 0.667 0.407
Zn: 0.334 0.000 0.912
Zn: 0.666 0.000 0.412
Zn: 0.667 0.333 0.907
Sn: 0.004 0.333 0.000
Sn: 0.017 0.158 0.721
Sn: 0.158 0.017 0.221
Sn: 0.160 0.494 0.220
Sn: 0.319 0.508 0.720
Sn: 0.329 0.671 0.001
Sn: 0.333 0.004 0.500
Sn: 0.492 0.681 0.720
Sn: 0.494 0.160 0.720
Sn: 0.506 0.840 0.220
Sn: 0.508 0.319 0.220
Sn: 0.667 0.996 0.000
Sn: 0.671 0.329 0.501
Sn: 0.681 0.492 0.220
Sn: 0.840 0.506 0.720
Sn: 0.842 0.983 0.721
Sn: 0.983 0.842 0.221
Sn: 0.996 0.667 0.500
O: 0.000 0.000 0.319
O: 0.000 0.000 0.819
O: 0.001 0.833 0.600
O: 0.002 0.667 0.113
O: 0.007 0.510 0.358
O: 0.150 0.669 0.346
O: 0.152 0.179 0.858
O: 0.157 0.843 0.105
O: 0.167 0.999 0.600
O: 0.168 0.501 0.599
O: 0.170 0.334 0.101
O: 0.179 0.152 0.358
O: 0.183 0.662 0.860
O: 0.331 0.850 0.346
O: 0.333 0.998 0.113
O: 0.334 0.170 0.601
O: 0.334 0.335 0.318
O: 0.335 0.334 0.818
O: 0.335 0.496 0.106
O: 0.336 0.664 0.609
O: 0.338 0.817 0.860
O: 0.483 0.517 0.849
O: 0.490 0.993 0.358
O: 0.496 0.335 0.606
O: 0.499 0.832 0.599
O: 0.501 0.168 0.099
O: 0.504 0.665 0.106
O: 0.510 0.007 0.858
O: 0.517 0.483 0.349
O: 0.662 0.183 0.360
O: 0.664 0.336 0.109
O: 0.665 0.504 0.606
O: 0.665 0.666 0.318
O: 0.666 0.665 0.818
O: 0.666 0.830 0.101
O: 0.667 0.002 0.613
O: 0.669 0.150 0.846
O: 0.817 0.338 0.360
O: 0.821 0.848 0.858
O: 0.830 0.666 0.601
O: 0.832 0.499 0.099
O: 0.833 0.001 0.100
O: 0.843 0.157 0.605
O: 0.848 0.821 0.358
O: 0.850 0.331 0.846
O: 0.993 0.490 0.858
O: 0.998 0.333 0.613
O: 0.999 0.167 0.100


# 9
Below is LiZr2SnO at its PBEsol-relaxed geometry, with properties calculated at the meta-GGA SCAN level.

Values from the calculation:
As for the symmetry: P4/mmm.

Lattice parameters (Å, degrees): 4.723 4.723 4.189 90.00 90.00 90.00
Element x y z (fractional)
Li: 0.000 0.000 0.000
Zr: 0.000 0.500 0.000
Zr: 0.500 0.000 0.000
Sn: 0.000 0.000 0.500
O: 0.500 0.500 0.500


# 10
Below is Sr3LiO at its PBEsol-relaxed geometry, with properties calculated at the meta-GGA SCAN level.

Values from the calculation:
The calculation puts the distance to the lowest polymorph of the same formula at 0.000 eV/f.u. As for the symmetry: Pm-3m.

Lattice parameters (Å, degrees): 5.255 5.255 5.255 90.00 90.00 90.00
Element x y z (fractional)
Sr: 0.000 0.000 0.500
Sr: 0.000 0.500 0.000
Sr: 0.500 0.000 0.000
Li: 0.500 0.500 0.500
O: 0.000 0.000 0.000


# 11
Below is Sr3Li6Ta2O11 at its PBEsol-relaxed geometry, with properties calculated at the meta-GGA SCAN level.

Values from the calculation:
As for the symmetry: Pmma.

Lattice parameters (Å, degrees): 10.525 8.308 5.800 90.00 90.00 90.00
Element x y z (fractional)
Sr: 0.000 0.238 0.000
Sr: 0.000 0.762 0.000
Sr: 0.250 0.500 0.118
Sr: 0.500 0.238 0.000
Sr: 0.500 0.762 0.000
Sr: 0.750 0.500 0.882
Li: 0.000 0.145 0.500
Li: 0.000 0.855 0.500
Li: 0.250 0.185 0.280
Li: 0.250 0.354 0.650
Li: 0.250 0.646 0.650
Li: 0.250 0.815 0.280
Li: 0.500 0.145 0.500
Li: 0.500 0.855 0.500
Li: 0.750 0.185 0.720
Li: 0.750 0.354 0.350
Li: 0.750 0.646 0.350
Li: 0.750 0.815 0.720
Ta: 0.000 0.500 0.500
Ta: 0.250 0.000 0.765
Ta: 0.500 0.500 0.500
Ta: 0.750 0.000 0.235
O: 0.060 0.000 0.753
O: 0.107 0.500 0.783
O: 0.111 0.326 0.368
O: 0.111 0.674 0.368
O: 0.250 0.000 0.443
O: 0.250 0.200 0.932
O: 0.250 0.800 0.932
O: 0.389 0.326 0.368
O: 0.389 0.674 0.368
O: 0.393 0.500 0.783
O: 0.440 0.000 0.753
O: 0.560 0.000 0.247
O: 0.607 0.500 0.217
O: 0.611 0.326 0.632
O: 0.611 0.674 0.632
O: 0.750 0.000 0.557
O: 0.750 0.200 0.068
O: 0.750 0.800 0.068
O: 0.889 0.326 0.632
O: 0.889 0.674 0.632
O: 0.893 0.500 0.217
O: 0.940 0.000 0.247


Number 1: formation energy (no corrections) -2.33 eV/atom, size of the total moment 11.96 μB per cell. Number 2: formation energy (no corrections) -2.40 eV/atom, size of the total moment 5.00 μB per cell. Number 3: formation energy (no corrections) -2.36 eV/atom, size of the total moment 2.14 μB per cell. Number 4: formation energy (no corrections) -2.34 eV/atom, size of the total moment 1.00 μB per cell. Number 5: formation energy (no corrections) -2.36 eV/atom, size of the total moment 2.13 μB per cell. Number 6: formation energy (no corrections) -2.27 eV/atom, size of the total moment 9.00 μB per cell. Number 7: formation energy (no corrections) -2.40 eV/atom, size of the total moment 20.00 μB per cell. Number 8: formation energy (no corrections) -1.90 eV/atom, size of the total moment 0.00 μB per cell. Number 9: formation energy (no corrections) 0.54 eV/atom, size of the total moment 0.00 μB per cell. Number 10: formation energy (no corrections) -1.10 eV/atom, size of the total moment 0.03 μB per cell. Number 11: formation energy (no corrections) -2.82 eV/atom, size of the total moment 0.00 μB per cell.